Density functional theory data (PBEsol) for a relaxed BaLiAs crystal.

a = 4.620 Å, b = 4.620 Å, c = 7.212 Å
α = 90.00°, β = 90.00°, γ = 90.00°
Space group P4/nmm (No. 129, origin choice 2)
Symmetry-distinct sites (fractional):
Ba  0.250  0.250  0.182 [2 per cell]
Li  0.250  0.750  0.500 [2 per cell]
As  0.250  0.250  0.704 [2 per cell]

Results
ΔE_f	-0.99	eV per atom